1.
The following is a DFT calculation (PBE-GGA) of SiBr2Cl after structural relaxation.

The excess energy over the best structure of this formula in the dataset is 525.5 meV/atom. For the formation energy without anion corrections, the calculation gives 0.049 eV/atom.

The structure in CIF format:
```
data_SiBr2Cl
_chemical_formula_sum 'Si3 Br6 Cl3'
_cell_length_a 3.7489
_cell_length_b 3.7489
_cell_length_c 30.3968
_cell_angle_alpha 90.00
_cell_angle_beta 90.00
_cell_angle_gamma 120.00
_space_group_name_H-M_alt 'R -3 m'
_space_group_IT_number 166
_space_group_name_Hall '-R 3 2"'
loop_
_atom_site_label
_atom_site_type_symbol
_atom_site_fract_x
_atom_site_fract_y
_atom_site_fract_z
Si1 Si 0.0000 0.0000 0.0000
Br1 Br 0.0000 0.0000 0.3874
Cl1 Cl 0.0000 0.0000 0.5000
```

2.
The following is a DFT calculation (PBE-GGA) of CaGdTlAu after structural relaxation.

The calculation puts the formation energy at -2.339 eV per formula unit.

The structure in CIF format:
```
data_CaGdTlAu
_chemical_formula_sum 'Ca4 Gd4 Tl4 Au4'
_cell_length_a 7.475
_cell_length_b 7.475
_cell_length_c 7.475
_cell_angle_alpha 90.00
_cell_angle_beta 90.00
_cell_angle_gamma 90.00
_space_group_name_H-M_alt 'F -4 3 m'
_space_group_IT_number 216
_space_group_name_Hall 'F -4 2 3'
loop_
_atom_site_label
_atom_site_type_symbol
_atom_site_fract_x
_atom_site_fract_y
_atom_site_fract_z
Ca1 Ca 0.000 0.000 0.000
Gd1 Gd 0.000 0.000 0.500
Tl1 Tl 0.250 0.250 0.250
Au1 Au 0.250 0.250 0.750
```

3.
The following is a DFT calculation (PBE-GGA) of Fe2ReNi after structural relaxation.

The calculation puts the formation energy at 0.658 eV per formula unit.

The structure in CIF format:
```
data_Fe2ReNi
_chemical_formula_sum 'Fe6 Re3 Ni3'
_cell_length_a 2.6334
_cell_length_b 2.6334
_cell_length_c 24.9300
_cell_angle_alpha 90.00
_cell_angle_beta 90.00
_cell_angle_gamma 120.00
_space_group_name_H-M_alt 'R -3 m'
_space_group_IT_number 166
_space_group_name_Hall '-R 3 2"'
loop_
_atom_site_label
_atom_site_type_symbol
_atom_site_fract_x
_atom_site_fract_y
_atom_site_fract_z
Fe1 Fe 0.0000 0.0000 0.2470
Re1 Re 0.0000 0.0000 0.0000
Ni1 Ni 0.0000 0.0000 0.5000
```

4.
The following is a DFT calculation (PBE-GGA) of Be2MoPb2 after structural relaxation.

The calculation puts the formation energy at 5.815 eV per formula unit.

The structure in CIF format:
```
data_Be2MoPb2
_chemical_formula_sum 'Be4 Mo2 Pb4'
_cell_length_a 4.441
_cell_length_b 4.441
_cell_length_c 10.345
_cell_angle_alpha 90.00
_cell_angle_beta 90.00
_cell_angle_gamma 90.00
_space_group_name_H-M_alt 'I 4/m m m'
_space_group_IT_number 139
_space_group_name_Hall '-I 4 2'
loop_
_atom_site_label
_atom_site_type_symbol
_atom_site_fract_x
_atom_site_fract_y
_atom_site_fract_z
Be1 Be 0.000 0.000 0.097
Mo1 Mo 0.000 0.000 0.500
Pb1 Pb 0.000 0.500 0.250
```

| no. | calculated volume (Å³ per cell) | density of states at the Fermi level (states/eV per cell) |
| --- | --- | --- |
| 1 | 370.0 | 11.8 |
| 2 | 417.7 | 12.9 |
| 3 | 149.7 | 17.9 |
| 4 | 204.0 | 4.5 |